# meta-GGA SCAN BeSiW2, PBEsol geometry
data_BeSiW2
_symmetry_space_group_name_H-M 'P 1'
_symmetry_Int_Tables_number 1
_cell_length_a 2.769
_cell_length_b 2.769
_cell_length_c 8.391
_cell_angle_alpha 80.50
_cell_angle_beta 80.50
_cell_angle_gamma 60.00
loop_
_symmetry_equiv_pos_as_xyz
'x,y,z'
loop_
_atom_site_label
_atom_site_fract_x
_atom_site_fract_y
_atom_site_fract_z
Be1 0.500 0.500 0.500
Si1 0.000 0.000 0.000
W1 0.248 0.248 0.256
W2 0.752 0.752 0.744
# theoretical density: 12.29 g/cm³
# V: 13.68 A^3/atom
# crystal system: trigonal
# raw formation energy: 1.31 eV/f.u.
# symmetry: R-3m (166)